(1)
PrTm2Tl2Ag2: relaxed, GGA-PBE.

The calculation puts the calculated formation energy at -131 kJ/mol of formula units. The uncorrected energy is -3.645 eV/atom.

The structure belongs to space group R-3m (No. 166, hexagonal axes); the cell edges are 4.9142, 4.9142 and 26.1335 Å and the angles 90.00°, 90.00° and 120.00°. Symmetry generates all atoms from Pr at (0.0000, 0.0000, 0.0000), Tm at (0.0000, 0.0000, 0.1336), Tl at (0.0000, 0.0000, 0.2620) and Ag at (0.0000, 0.0000, 0.4400).


(2)
RbTa2GeF: relaxed, GGA-PBE.

As for the uncorrected formation energy: 3.62 eV per formula unit. The uncorrected energy is -5.509 eV/atom.

The structure belongs to space group P4/mmm (No. 123); the cell edges are 4.454, 4.454 and 5.078 Å and the angles 90.00°, 90.00° and 90.00°. Symmetry generates all atoms from Rb at (0.000, 0.000, 0.000), Ta at (0.000, 0.500, 0.500), Ge at (0.500, 0.500, 0.000) and F at (0.000, 0.000, 0.500).


(3)
Cu2SbOs: relaxed, GGA-PBE.

As for the uncorrected formation energy: 2.67 eV per formula unit. The uncorrected energy is -5.218 eV/atom.

The structure belongs to space group I-42d (No. 122); the cell edges are 7.205, 7.205 and 5.116 Å and the angles 90.00°, 90.00° and 90.00°. Symmetry generates all atoms from Cu at (0.239, 0.250, 0.125), Sb at (0.000, 0.000, 0.500) and Os at (0.000, 0.000, 0.000).


(4)
Ni2CI: relaxed, GGA-PBE.

As for the uncorrected formation energy: 1.05 eV per formula unit. The value obtained for the distance to the lowest polymorph of the same formula is 33 meV/atom. The uncorrected energy is -5.321 eV/atom.

The structure belongs to space group C2/m (No. 12); the cell edges are 6.503, 4.384 and 9.657 Å and the angles 90.00°, 94.98° and 90.00°. Symmetry generates all atoms from Ni at (0.110, 0.000, 0.182), Ni at (0.190, 0.500, 0.034), C at (0.000, 0.166, 0.000) and I at (0.228, 0.000, 0.678).


no.,volume (Å³/cell)
1,546.6
2,100.7
3,265.6
4,274.3